The following is a PBEsol calculation of a relaxed structure of SrLiCd2, from the Alexandria database.

a b c (Å): 7.470 7.470 7.470
angles (deg): 90.00 90.00 90.00
Space group Fm-3m (No. 225)
Unique sites:
Sr 0.000 0.000 0.000 (multiplicity 4)
Li 0.000 0.000 0.500 (multiplicity 4)
Cd 0.250 0.250 0.250 (multiplicity 8)

The density of states at the Fermi level is 13.840 states/eV/cell. The calculation puts the total energy at -1.73 eV per atom. The crystal system is cubic. Its energy relative to the elements is -0.181 eV/atom.



The following is a PBEsol calculation of a relaxed structure of LaCr3Ir, from the Alexandria database.

a b c (Å): 4.317 4.317 4.317
angles (deg): 90.00 90.00 90.00
Space group Pm-3m (No. 221)
Unique sites:
La 0.000 0.000 0.000 (multiplicity 1)
Cr 0.000 0.000 0.500 (multiplicity 3)
Ir 0.500 0.500 0.500 (multiplicity 1)

The density of states at the Fermi level is 5.640 states/eV/cell. The calculation puts the total energy at -7.09 eV per atom. The crystal system is cubic. Its energy relative to the elements is 2.091 eV/atom.



The following is a PBEsol calculation of a relaxed structure of Li4Bi3O8, from the Alexandria database.

a b c (Å): 6.395 4.204 13.876
angles (deg): 90.00 92.21 90.00
Space group P2_1/m (No. 11)
Unique sites:
Li 0.046 0.250 0.181 (multiplicity 2)
Li 0.186 0.250 0.896 (multiplicity 2)
Li 0.376 0.250 0.462 (multiplicity 2)
Li 0.401 0.750 0.823 (multiplicity 2)
Bi 0.149 0.750 0.586 (multiplicity 2)
Bi 0.315 0.750 0.053 (multiplicity 2)
Bi 0.334 0.750 0.306 (multiplicity 2)
O 0.098 0.750 0.162 (multiplicity 2)
O 0.110 0.250 0.544 (multiplicity 2)
O 0.126 0.250 0.319 (multiplicity 2)
O 0.168 0.750 0.917 (multiplicity 2)
O 0.359 0.750 0.467 (multiplicity 2)
O 0.378 0.250 0.038 (multiplicity 2)
O 0.437 0.750 0.679 (multiplicity 2)
O 0.455 0.250 0.833 (multiplicity 2)

The density of states at the Fermi level is 7.920 states/eV/cell. The calculation puts the total energy at -5.57 eV per atom. The crystal system is monoclinic. Its formation energy (no corrections) is -1391.6 meV/atom.



The following is a PBEsol calculation of a relaxed structure of CaHf2Ir2, from the Alexandria database.

a b c (Å): 4.407 4.407 11.040
angles (deg): 90.00 90.00 90.00
Space group I4/mmm (No. 139)
Unique sites:
Ca 0.000 0.000 0.000 (multiplicity 2)
Hf 0.000 0.500 0.250 (multiplicity 4)
Ir 0.000 0.000 0.383 (multiplicity 4)

The density of states at the Fermi level is 6.273 states/eV/cell. The calculation puts the total energy at -9.28 eV per atom. The crystal system is tetragonal. Its energy relative to the elements is -0.726 eV/atom.



The following is a PBEsol calculation of a relaxed structure of TaTl2Os, from the Alexandria database.

a b c (Å): 4.109 4.109 4.445
angles (deg): 90.00 90.00 90.00
Space group P4/mmm (No. 123)
Unique sites:
Ta 0.000 0.000 0.000 (multiplicity 1)
Tl 0.000 0.500 0.500 (multiplicity 2)
Os 0.500 0.500 0.000 (multiplicity 1)

The density of states at the Fermi level is 3.545 states/eV/cell. The calculation puts the total energy at -6.63 eV per atom. The crystal system is tetragonal. Its energy relative to the elements is 0.878 eV/atom.



The following is a PBEsol calculation of a relaxed structure of Cs2HgS, from the Alexandria database.

a b c (Å): 8.246 8.246 8.246
angles (deg): 90.00 90.00 90.00
Space group Fm-3m (No. 225)
Unique sites:
Cs 0.250 0.250 0.250 (multiplicity 8)
Hg 0.000 0.000 0.000 (multiplicity 4)
S 0.000 0.000 0.500 (multiplicity 4)

The density of states at the Fermi level is 0.000 states/eV/cell. The calculation puts the total energy at -2.41 eV per atom. The crystal system is cubic. Its formation energy (no corrections) is -698.8 meV/atom.



The following is a PBEsol calculation of a relaxed structure of Li2MnSiO4, from the Alexandria database.

a b c (Å): 6.257 5.355 4.968
angles (deg): 90.00 90.00 90.00
Space group Pmn2_1 (No. 31)
Unique sites:
Li 0.249 0.169 0.000 (multiplicity 4)
Mn 0.000 0.330 0.502 (multiplicity 2)
Si 0.000 0.676 0.993 (multiplicity 2)
O 0.000 0.381 0.093 (multiplicity 2)
O 0.000 0.681 0.662 (multiplicity 2)
O 0.215 0.820 0.106 (multiplicity 4)

The density of states at the Fermi level is 0.000 states/eV/cell. The calculation puts the total energy at -7.30 eV per atom. The crystal system is orthorhombic. Its formation energy (no corrections) is -2241.1 meV/atom.



The following is a PBEsol calculation of a relaxed structure of LaTe3P, from the Alexandria database.

a b c (Å): 6.067 6.067 6.067
angles (deg): 90.00 90.00 90.00
Space group Pm-3m (No. 221)
Unique sites:
La 0.000 0.000 0.000 (multiplicity 1)
Te 0.000 0.000 0.500 (multiplicity 3)
P 0.500 0.500 0.500 (multiplicity 1)

The density of states at the Fermi level is 6.574 states/eV/cell. The calculation puts the total energy at -3.75 eV per atom. The crystal system is cubic. Its formation energy (no corrections) is 594.3 meV/atom.



The following is a PBEsol calculation of a relaxed structure of ScMo2Os, from the Alexandria database.

a b c (Å): 3.124 4.384 9.142
angles (deg): 90.00 90.00 90.00
Space group Immm (No. 71)
Unique sites:
Sc 0.000 0.000 0.000 (multiplicity 2)
Mo 0.000 0.500 0.243 (multiplicity 4)
Os 0.000 0.000 0.500 (multiplicity 2)

The density of states at the Fermi level is 4.997 states/eV/cell. The calculation puts the total energy at -10.69 eV per atom. The crystal system is orthorhombic. Its energy relative to the elements is -0.098 eV/atom.



The following is a PBEsol calculation of a relaxed structure of Tl2HgBr, from the Alexandria database.

a b c (Å): 7.683 7.683 7.683
angles (deg): 90.00 90.00 90.00
Space group Fm-3m (No. 225)
Unique sites:
Tl 0.250 0.250 0.250 (multiplicity 8)
Hg 0.000 0.000 0.000 (multiplicity 4)
Br 0.000 0.000 0.500 (multiplicity 4)

The density of states at the Fermi level is 10.480 states/eV/cell. The calculation puts the total energy at -2.16 eV per atom. The crystal system is cubic. Its formation energy (no corrections) is -239.2 meV/atom.



The following is a PBEsol calculation of a relaxed structure of HgPb2Au, from the Alexandria database.

a b c (Å): 5.174 5.174 7.244
angles (deg): 90.00 90.00 90.00
Space group I4/mmm (No. 139)
Unique sites:
Hg 0.000 0.000 0.000 (multiplicity 2)
Pb 0.000 0.500 0.250 (multiplicity 4)
Au 0.000 0.000 0.500 (multiplicity 2)

The density of states at the Fermi level is 3.519 states/eV/cell. The calculation puts the total energy at -3.10 eV per atom. The crystal system is tetragonal. Its energy relative to the elements is 0.022 eV/atom.



The following is a PBEsol calculation of a relaxed structure of Li2ReAu, from the Alexandria database.

a b c (Å): 6.687 6.687 5.175
angles (deg): 90.00 90.00 90.00
Space group I-42d (No. 122)
Unique sites:
Li 0.237 0.750 0.125 (multiplicity 8)
Re 0.000 0.000 0.500 (multiplicity 4)
Au 0.000 0.000 0.000 (multiplicity 4)

The density of states at the Fermi level is 11.124 states/eV/cell. The calculation puts the total energy at -4.50 eV per atom. The crystal system is tetragonal. Its energy relative to the elements is 0.802 eV/atom.